Entry 1:
Na2SbTe2 (GGA-PBE, optimized geometry); E = -0.114 Ha/atom; formation energy (no corrections) = -480 meV/atom; space-group type = P4/mbm; energy above the most stable polymorph in this dataset = 10 meV per atom
1.0
-5.282 -2.461 -6.032
6.127 -4.513 -3.524
-1.133 -3.393 2.376
Te Sb Na
4 2 4
Cartesian
3.341 -4.538 -4.889
-2.495 -2.435 -4.667
-0.246 -5.072 -7.361
1.092 -1.902 -2.195
0.000 0.000 0.000
0.423 -3.487 -4.778
2.612 -4.901 -1.872
-1.657 -3.206 -1.487
1.370 -7.161 -5.693
-2.899 -5.466 -5.308



Entry 2:
K2UH4 (GGA-PBE, optimized geometry); E = -0.137 Ha/atom; space-group type = I4/mmm
1.0
4.322 0.000 0.000
0.000 4.322 0.000
2.161 2.161 7.368
H K U
4 2 1
Cartesian
4.322 4.322 2.302
0.000 2.161 0.000
2.161 0.000 0.000
2.161 2.161 5.066
2.161 2.161 2.354
4.322 4.322 5.014
0.000 0.000 0.000



Entry 3:
HfZnOs2Pd (GGA-PBE, optimized geometry); E = -0.221 Ha/atom; energy of formation = 1758.1 meV/atom; space-group type = P4/mmm
1.0
-1.567 4.495 0.409
-2.795 -1.303 3.609
3.529 0.950 3.077
Os Pd Hf Zn
2 1 1 1
Cartesian
1.765 0.475 1.538
-0.783 2.247 0.204
0.000 0.000 0.000
-1.398 -0.651 1.804
-0.416 2.071 3.547



Entry 4:
MnTl2Ni (GGA-PBE, optimized geometry); E = -0.157 Ha/atom; energy of formation = 636.7 meV/atom; space-group type = I-42d; energy above the most stable polymorph in this dataset = 353 meV per atom
1.0
-0.364 1.417 4.042
-4.280 0.017 -0.392
-2.641 -8.174 4.914
Tl Ni Mn
4 2 2
Cartesian
-3.680 -5.592 5.058
-1.427 -1.141 3.746
-3.377 -1.870 1.448
-6.088 -4.875 6.875
0.000 0.000 0.000
-2.664 -3.020 5.390
-4.622 -3.719 3.173
-2.322 0.717 1.825



Entry 5:
Te2MoPtI (GGA-PBE, optimized geometry); E = -0.146 Ha/atom; formation energy (no corrections) = 959 meV/atom; space-group type = P4/mmm
1.0
5.322 0.000 0.000
0.000 5.322 0.000
0.000 0.000 5.444
Te Mo Pt I
2 1 1 1
Cartesian
0.000 2.661 0.000
2.661 0.000 0.000
2.661 2.661 2.722
0.000 0.000 0.000
0.000 0.000 2.722



Entry 6:
Zr2ZnCd (GGA-PBE, optimized geometry); E = -0.178 Ha/atom; energy of formation = -11.0 meV/atom; space-group type = P2/m; energy above the most stable polymorph in this dataset = 171 meV per atom
1.0
-2.754 1.285 -0.021
-1.620 -3.532 -3.551
-2.570 -5.486 1.507
Cd Zr Zn
1 2 1
Cartesian
-3.472 -3.867 -1.032
0.000 0.000 0.000
-2.187 -1.124 -1.786
-1.285 -2.743 0.754



Entry 7:
Ba2RuF (GGA-PBE, optimized geometry); E = -0.167 Ha/atom; formation energy (no corrections) = -789 meV/atom; space-group type = I-42d; energy above the most stable polymorph in this dataset = 0 meV per atom
1.0
-2.022 -4.246 4.058
-3.729 -2.388 -4.357
1.973 -7.435 -2.042
Ru F Ba
2 2 4
Cartesian
-1.462 -7.499 0.933
0.000 0.000 0.000
-2.315 -6.570 -3.274
-2.875 -3.317 -0.149
-3.501 -11.348 -1.733
-1.209 -4.753 1.425
-0.728 -8.097 -1.704
-2.118 -3.940 -2.671



Entry 8:
Dy2ZrSc (GGA-PBE, optimized geometry); E = -0.218 Ha/atom; energy of formation = 86.4 meV/atom; space-group type = P4/mmm; energy above the most stable polymorph in this dataset = 4 meV per atom
1.0
3.375 0.000 0.000
0.000 3.375 0.000
0.000 0.000 9.568
Dy Sc Zr
2 1 1
Cartesian
0.000 0.000 2.463
0.000 0.000 7.105
1.687 1.687 0.000
1.687 1.687 4.784